Model 1:
The following is a DFT calculation (PBE) of a relaxed BeCd3Mo crystal.

a = 5.4479 Å, b = 5.4479 Å, c = 5.4479 Å
α = 90.00°, β = 90.00°, γ = 90.00°
Closest atoms and distances in Å follow each position.
Positions (direct):
Be: 0.0000 0.0000 0.0000  12 Cd 3.85
Cd: 0.0000 0.5000 0.5000  2 Mo 2.72
Cd: 0.5000 0.0000 0.5000  2 Mo 2.72
Cd: 0.5000 0.5000 0.0000  2 Mo 2.72
Mo: 0.5000 0.5000 0.5000  6 Cd 2.72

Output
The value obtained for the volume is 161.7 Å³/cell. The density of states at the Fermi level comes out at 3.786 states/eV per cell. The calculation puts the total magnetization at 3.500 μB per cell.

***

Model 2:
The following is a DFT calculation (PBE) of a relaxed BeCd3Mo crystal.

a = 4.6018 Å, b = 4.6018 Å, c = 4.6018 Å
α = 90.00°, β = 90.00°, γ = 90.00°
Closest atoms and distances in Å follow each position.
Positions (direct):
Be: 0.0000 0.0000 0.0000  6 Cd 2.30
Cd: 0.0000 0.0000 0.5000  2 Be 2.30
Cd: 0.0000 0.5000 0.0000  2 Be 2.30
Cd: 0.5000 0.0000 0.0000  2 Be 2.30
Mo: 0.5000 0.5000 0.5000  12 Cd 3.25

Output
The value obtained for the volume is 97.4 Å³/cell. The density of states at the Fermi level comes out at 3.520 states/eV per cell. The calculation puts the total magnetization at 3.106 μB per cell.

***

Pick model 2: it beats the second-best structure by 0.619 eV/atom.

***

Model 1:
The following is a DFT calculation (PBE) of a relaxed Be2CdN crystal.

a = 5.2258 Å, b = 5.2258 Å, c = 5.2258 Å
α = 119.96°, β = 119.96°, γ = 90.07°
Closest atoms and distances in Å follow each position.
Positions (direct):
Be: 0.3750 0.0581 0.1831  2 N 1.64
Be: 0.8081 0.6250 0.6831  2 N 1.64
Be: 0.8750 0.1919 0.8169  2 N 1.64
Be: 0.9419 0.1250 0.3169  2 N 1.64
Cd: 0.2500 0.7500 0.5000  8 Be 2.77-3.08
Cd: 0.5000 0.5000 0.0000  8 Be 2.77-3.08
N: 0.0000 0.0000 0.0000  4 Be 1.64
N: 0.7500 0.2500 0.5000  4 Be 1.64

Output
The value obtained for the volume is 101.0 Å³/cell. The density of states at the Fermi level comes out at 4.654 states/eV per cell. The calculation puts the total magnetization at 0.000 μB per cell.

***

Model 2:
The following is a DFT calculation (PBE) of a relaxed Be2CdN crystal.

a = 4.0482 Å, b = 4.0482 Å, c = 4.0482 Å
α = 60.00°, β = 60.00°, γ = 60.00°
Closest atoms and distances in Å follow each position.
Positions (direct):
Be: 0.2500 0.2500 0.2500  4 Cd 2.48, 4 N 2.48
Be: 0.7500 0.7500 0.7500  4 Cd 2.48, 4 N 2.48
Cd: 0.0000 0.0000 0.0000  8 Be 2.48
N: 0.5000 0.5000 0.5000  8 Be 2.48

Output
The value obtained for the volume is 46.9 Å³/cell. The density of states at the Fermi level comes out at 1.535 states/eV per cell. The calculation puts the total magnetization at 0.000 μB per cell.

***

Pick model 1: it beats the second-best structure by 1.501 eV/atom.

***

Model 1:
The following is a DFT calculation (PBE) of a relaxed BeCdS2N crystal.

a = 5.0518 Å, b = 5.0518 Å, c = 4.1063 Å
α = 90.00°, β = 90.00°, γ = 90.00°
Closest atoms and distances in Å follow each position.
Positions (direct):
Be: 0.0000 0.0000 0.0000  8 S 3.26, 4 N 3.57
Cd: 0.5000 0.5000 0.5000  2 N 2.05
S: 0.0000 0.5000 0.5000  2 Cd 2.53
S: 0.5000 0.0000 0.5000  2 Cd 2.53
N: 0.5000 0.5000 0.0000  2 Cd 2.05

Output
The value obtained for the volume is 104.8 Å³/cell. The density of states at the Fermi level comes out at 1.848 states/eV per cell. The calculation puts the total magnetization at 2.040 μB per cell.

***

Model 2:
The following is a DFT calculation (PBE) of a relaxed BeCdS2N crystal.

a = 4.9306 Å, b = 4.9306 Å, c = 3.1383 Å
α = 90.00°, β = 90.00°, γ = 90.00°
Closest atoms and distances in Å follow each position.
Positions (direct):
Be: 0.0000 0.0000 0.0000  2 N 1.57
Cd: 0.5000 0.5000 0.5000  8 S 2.92, 2 Cd 3.14
S: 0.0000 0.5000 0.0000  2 Be 2.47
S: 0.5000 0.0000 0.0000  2 Be 2.47
N: 0.0000 0.0000 0.5000  2 Be 1.57

Output
The value obtained for the volume is 76.3 Å³/cell. The density of states at the Fermi level comes out at 2.646 states/eV per cell. The calculation puts the total magnetization at 1.077 μB per cell.

***

Pick model 2: it beats the second-best structure by 1.122 eV/atom.

***

Model 1:
The following is a DFT calculation (PBE) of a relaxed BeCdSeN2 crystal.

a = 3.6812 Å, b = 3.6812 Å, c = 5.5040 Å
α = 90.00°, β = 90.00°, γ = 90.00°
Closest atoms and distances in Å follow each position.
Positions (direct):
Be: 0.0000 0.0000 0.0000  4 N 1.84
Cd: 0.5000 0.5000 0.5000  4 Se 2.60
Se: 0.0000 0.0000 0.5000  4 Cd 2.60, 2 Be 2.75
N: 0.0000 0.5000 0.0000  2 Be 1.84
N: 0.5000 0.0000 0.0000  2 Be 1.84

Output
The value obtained for the volume is 74.6 Å³/cell. The density of states at the Fermi level comes out at 2.015 states/eV per cell. The calculation puts the total magnetization at 2.629 μB per cell.

***

Model 2:
The following is a DFT calculation (PBE) of a relaxed BeCdSeN2 crystal.

a = 4.0981 Å, b = 4.0981 Å, c = 6.0652 Å
α = 90.00°, β = 90.00°, γ = 90.00°
Closest atoms and distances in Å follow each position.
Positions (direct):
Be: 0.0000 0.0000 0.0000  4 Se 2.90
Cd: 0.5000 0.5000 0.5000  4 N 2.05
Se: 0.5000 0.5000 0.0000  4 Be 2.90, 2 Cd 3.03
N: 0.0000 0.5000 0.5000  2 Cd 2.05
N: 0.5000 0.0000 0.5000  2 Cd 2.05

Output
The value obtained for the volume is 101.9 Å³/cell. The density of states at the Fermi level comes out at 1.562 states/eV per cell. The calculation puts the total magnetization at 3.498 μB per cell.

***

Pick model 1: it beats the second-best structure by 0.893 eV/atom.

***

Model 1:
The following is a DFT calculation (PBE) of a relaxed BeCdSe2N crystal.

a = 5.2945 Å, b = 5.2945 Å, c = 4.1235 Å
α = 90.00°, β = 90.00°, γ = 90.00°
Closest atoms and distances in Å follow each position.
Positions (direct):
Be: 0.0000 0.0000 0.0000  8 Se 3.36, 4 N 3.74
Cd: 0.5000 0.5000 0.5000  2 N 2.06
Se: 0.0000 0.5000 0.5000  2 Cd 2.65
Se: 0.5000 0.0000 0.5000  2 Cd 2.65
N: 0.5000 0.5000 0.0000  2 Cd 2.06

Output
The value obtained for the volume is 115.6 Å³/cell. The density of states at the Fermi level comes out at 3.003 states/eV per cell. The calculation puts the total magnetization at 2.106 μB per cell.

***

Model 2:
The following is a DFT calculation (PBE) of a relaxed BeCdSe2N crystal.

a = 5.3837 Å, b = 5.3837 Å, c = 3.0245 Å
α = 90.00°, β = 90.00°, γ = 90.00°
Closest atoms and distances in Å follow each position.
Positions (direct):
Be: 0.0000 0.0000 0.0000  2 N 1.51
Cd: 0.5000 0.5000 0.5000  2 Cd 3.02, 8 Se 3.09
Se: 0.0000 0.5000 0.0000  2 Be 2.69
Se: 0.5000 0.0000 0.0000  2 Be 2.69
N: 0.0000 0.0000 0.5000  2 Be 1.51

Output
The value obtained for the volume is 87.7 Å³/cell. The density of states at the Fermi level comes out at 2.748 states/eV per cell. The calculation puts the total magnetization at 0.000 μB per cell.

***

Pick model 2: it beats the second-best structure by 1.167 eV/atom.

***

Model 1:
The following is a DFT calculation (PBE) of a relaxed BeCdTe2N crystal.

a = 5.7424 Å, b = 5.7424 Å, c = 3.1187 Å
α = 90.00°, β = 90.00°, γ = 90.00°
Closest atoms and distances in Å follow each position.
Positions (direct):
Be: 0.0000 0.0000 0.0000  2 N 1.56
Cd: 0.5000 0.5000 0.5000  2 Cd 3.12, 8 Te 3.27
Te: 0.0000 0.5000 0.0000  2 Be 2.87, 2 Te 3.12
Te: 0.5000 0.0000 0.0000  2 Be 2.87, 2 Te 3.12
N: 0.0000 0.0000 0.5000  2 Be 1.56

Output
The value obtained for the volume is 102.8 Å³/cell. The density of states at the Fermi level comes out at 3.101 states/eV per cell. The calculation puts the total magnetization at 0.000 μB per cell.

***

Model 2:
The following is a DFT calculation (PBE) of a relaxed BeCdTe2N crystal.

a = 5.7416 Å, b = 5.7416 Å, c = 4.0379 Å
α = 90.00°, β = 90.00°, γ = 90.00°
Closest atoms and distances in Å follow each position.
Positions (direct):
Be: 0.0000 0.0000 0.0000  8 Te 3.51
Cd: 0.5000 0.5000 0.5000  2 N 2.02
Te: 0.0000 0.5000 0.5000  2 Cd 2.87
Te: 0.5000 0.0000 0.5000  2 Cd 2.87
N: 0.5000 0.5000 0.0000  2 Cd 2.02

Output
The value obtained for the volume is 133.1 Å³/cell. The density of states at the Fermi level comes out at 4.372 states/eV per cell. The calculation puts the total magnetization at 1.898 μB per cell.

***

Pick model 1: it beats the second-best structure by 1.189 eV/atom.

***

Model 1:
The following is a DFT calculation (PBE) of a relaxed NaBeCd crystal.

a = 4.2971 Å, b = 5.2015 Å, c = 5.9099 Å
α = 84.77°, β = 69.08°, γ = 89.96°
Closest atoms and distances in Å follow each position.
Positions (direct):
Na: 0.0000 0.0000 0.0000  5 Cd 3.10-3.34, 3 Be 3.31-3.37, 2 Na 3.32-3.33
Na: 0.4540 0.5127 0.0950  2 Be 2.90-3.00, 3 Cd 3.16-3.22
Be: 0.1909 0.5315 0.6187  2 Be 2.40-2.42, 3 Cd 2.43-2.56
Be: 0.7138 0.7403 0.5751  2 Be 2.40-2.42, 3 Cd 2.44-2.55
Cd: 0.2802 0.9771 0.4402  3 Be 2.43-2.55
Cd: 0.7053 0.2706 0.5911  3 Be 2.44-2.56

Output
The value obtained for the volume is 122.8 Å³/cell. The density of states at the Fermi level comes out at 1.889 states/eV per cell. The calculation puts the total magnetization at 0.000 μB per cell.

***

Model 2:
The following is a DFT calculation (PBE) of a relaxed NaBeCd crystal.

a = 2.8209 Å, b = 4.2041 Å, c = 5.3454 Å
α = 90.00°, β = 90.00°, γ = 90.00°
Closest atoms and distances in Å follow each position.
Positions (direct):
Na: 0.0000 0.0000 0.0000  2 Na 2.82, 4 Be 3.02
Be: 0.5000 0.0000 0.5000  4 Cd 2.53, 2 Be 2.82
Cd: 0.0000 0.5000 0.5000  4 Be 2.53, 2 Cd 2.82

Output
The value obtained for the volume is 63.4 Å³/cell. The density of states at the Fermi level comes out at 0.904 states/eV per cell. The calculation puts the total magnetization at 0.000 μB per cell.

***

Pick model 1: it beats the second-best structure by 0.093 eV/atom.